Mg2CuWO6 GGA+U optimized geometry; excess energy over the best structure of this formula in the dataset = 0.000 eV per atom
1.0
5.139 0.000 0.000
0.000 5.075 -0.013
0.000 4.902 8.544
Mg Cu W O
4 2 2 12
direct
0.034 0.297 0.717
0.534 0.703 0.783
0.966 0.703 0.283
0.466 0.297 0.217
0.000 0.500 0.000
0.500 0.500 0.500
0.000 0.000 0.500
0.500 0.000 0.000
0.284 0.699 0.619
0.784 0.301 0.881
0.716 0.301 0.381
0.216 0.699 0.119
0.192 0.352 0.468
0.692 0.648 0.032
0.808 0.648 0.532
0.308 0.352 0.968
0.362 0.042 0.808
0.862 0.958 0.692
0.138 0.042 0.308
0.638 0.958 0.192